The following is a PBE-GGA calculation of CsUHg2I6 after structural relaxation, from Alexandria via LeMat-Bulk.

Summary:
Formation energy from raw total energies, eV/atom: -0.76
Space-group type: P1, No. 1
Energy, eV/atom: -2.9607

Cell lengths 9.769, 9.754, 8.540 Å; angles 89.97, 124.80, 120.11 degrees
Fractional coordinates of all 10 atoms:
I 0.933 0.832 0.243
I 0.158 0.324 0.244
Hg 0.411 0.706 0.102
Hg 0.577 0.288 0.851
I 0.425 0.100 0.245
I 0.570 0.895 0.719
I 0.062 0.165 0.720
U 0.997 0.998 0.982
I 0.838 0.673 0.719
Cs 0.994 0.497 0.477

***

The following is a PBE-GGA calculation of BC2 after structural relaxation, from Alexandria via LeMat-Bulk.

Summary:
Energy above the lowest structure with this stoichiometry, meV per atom: 114
Energy relative to the elements, eV/atom: 0.35
Space-group type: P3m1, No. 156
Energy, eV/atom: -8.0207

Cell lengths 2.549, 2.549, 13.547 Å; angles 90.00, 90.00, 120.00 degrees
Fractional coordinates of all 12 atoms:
C 0.000 0.000 0.493
B 0.667 0.333 0.821
C 0.333 0.667 0.058
C 0.000 0.000 0.020
B 0.000 0.000 0.374
C 0.667 0.333 0.212
C 0.333 0.667 0.533
C 0.333 0.667 0.643
B 0.667 0.333 0.697
B 0.000 0.000 0.903
C 0.667 0.333 0.323
C 0.333 0.667 0.172